1.
DFT (meta-GGA SCAN) results for a PBEsol-optimized structure of PBr2Cl.

The structure belongs to space group R-3m (No. 166, hexagonal axes); the cell edges are 3.7254, 3.7254 and 22.3232 Å and the angles 90.00°, 90.00° and 120.00°. The inequivalent atoms are P at (0.0000, 0.0000, 0.0000), Br at (0.0000, 0.0000, 0.2646) and Cl at (0.0000, 0.0000, 0.5000).

The uncorrected formation energy is 0.221 eV/atom.

2.
DFT (meta-GGA SCAN) results for a PBEsol-optimized structure of P2PdBrCl.

The structure belongs to space group P4/mmm (No. 123); the cell edges are 4.6535, 4.6535 and 4.7687 Å and the angles 90.00°, 90.00° and 90.00°. The inequivalent atoms are P at (0.0000, 0.5000, 0.0000), Pd at (0.0000, 0.0000, 0.0000), Br at (0.5000, 0.5000, 0.5000) and Cl at (0.0000, 0.0000, 0.5000).

The uncorrected formation energy is 0.527 eV/atom.

3.
DFT (meta-GGA SCAN) results for a PBEsol-optimized structure of PPdBrCl2.

The structure belongs to space group P4/mmm (No. 123); the cell edges are 4.6990, 4.6990 and 4.7458 Å and the angles 90.00°, 90.00° and 90.00°. The inequivalent atoms are P at (0.0000, 0.0000, 0.0000), Pd at (0.0000, 0.0000, 0.5000), Br at (0.5000, 0.5000, 0.0000) and Cl at (0.0000, 0.5000, 0.5000).

The uncorrected formation energy is 0.215 eV/atom.

4.
DFT (meta-GGA SCAN) results for a PBEsol-optimized structure of P2RuBrCl.

The structure belongs to space group P4/mmm (No. 123); the cell edges are 4.7368, 4.7368 and 4.8194 Å and the angles 90.00°, 90.00° and 90.00°. The inequivalent atoms are P at (0.0000, 0.5000, 0.0000), Ru at (0.0000, 0.0000, 0.5000), Br at (0.5000, 0.5000, 0.0000) and Cl at (0.5000, 0.5000, 0.5000).

The uncorrected formation energy is 1.850 eV/atom.

5.
DFT (meta-GGA SCAN) results for a PBEsol-optimized structure of SnPBrCl2.

The structure belongs to space group P4/mmm (No. 123); the cell edges are 5.0538, 5.0538 and 4.9687 Å and the angles 90.00°, 90.00° and 90.00°. The inequivalent atoms are Sn at (0.0000, 0.0000, 0.0000), P at (0.5000, 0.5000, 0.0000), Br at (0.5000, 0.5000, 0.5000) and Cl at (0.0000, 0.5000, 0.5000).

The uncorrected formation energy is 0.601 eV/atom.

6.
DFT (meta-GGA SCAN) results for a PBEsol-optimized structure of SnP2BrCl.

The structure belongs to space group P4/mmm (No. 123); the cell edges are 4.8298, 4.8298 and 5.0508 Å and the angles 90.00°, 90.00° and 90.00°. The inequivalent atoms are Sn at (0.0000, 0.0000, 0.0000), P at (0.0000, 0.5000, 0.5000), Br at (0.5000, 0.5000, 0.5000) and Cl at (0.5000, 0.5000, 0.0000).

The uncorrected formation energy is 1.026 eV/atom.

7.
DFT (meta-GGA SCAN) results for a PBEsol-optimized structure of TiP2BrCl.

The structure belongs to space group P4/mmm (No. 123); the cell edges are 4.7328, 4.7328 and 4.8799 Å and the angles 90.00°, 90.00° and 90.00°. The inequivalent atoms are Ti at (0.0000, 0.0000, 0.0000), P at (0.0000, 0.5000, 0.5000), Br at (0.5000, 0.5000, 0.5000) and Cl at (0.5000, 0.5000, 0.0000).

The uncorrected formation energy is 1.100 eV/atom.

8.
DFT (meta-GGA SCAN) results for a PBEsol-optimized structure of P2WBrCl.

The structure belongs to space group P4/mmm (No. 123); the cell edges are 4.7454, 4.7454 and 4.7291 Å and the angles 90.00°, 90.00° and 90.00°. The inequivalent atoms are P at (0.0000, 0.5000, 0.0000), W at (0.0000, 0.0000, 0.5000), Br at (0.5000, 0.5000, 0.0000) and Cl at (0.5000, 0.5000, 0.5000).

The uncorrected formation energy is 2.104 eV/atom.

9.
DFT (meta-GGA SCAN) results for a PBEsol-optimized structure of YP2BrCl.

The structure belongs to space group P4/mmm (No. 123); the cell edges are 5.3991, 5.3991 and 5.0440 Å and the angles 90.00°, 90.00° and 90.00°. The inequivalent atoms are Y at (0.0000, 0.0000, 0.0000), P at (0.0000, 0.5000, 0.0000), Br at (0.5000, 0.5000, 0.5000) and Cl at (0.0000, 0.0000, 0.5000).

The uncorrected formation energy is -0.100 eV/atom.

10.
DFT (meta-GGA SCAN) results for a PBEsol-optimized structure of PbBr2Cl.

The structure belongs to space group P4/mmm (No. 123); the cell edges are 4.4213, 4.4213 and 5.5937 Å and the angles 90.00°, 90.00° and 90.00°. The inequivalent atoms are Pb at (0.0000, 0.0000, 0.0000), Br at (0.5000, 0.5000, 0.2498) and Cl at (0.0000, 0.0000, 0.5000).

The uncorrected formation energy is -0.491 eV/atom.

11.
DFT (meta-GGA SCAN) results for a PBEsol-optimized structure of PbBr2Cl.

The structure belongs to space group Pm (No. 6); the cell edges are 4.9486, 5.2992 and 5.3844 Å and the angles 90.00°, 116.25° and 90.00°. The inequivalent atoms are Pb at (0.0000, 0.0000, 0.0000), Br at (0.1639, 0.5000, 0.7794), Br at (0.6435, 0.0000, 0.3347) and Cl at (0.1327, 0.5000, 0.2734).

The uncorrected formation energy is -0.600 eV/atom.

12.
DFT (meta-GGA SCAN) results for a PBEsol-optimized structure of PbBr2Cl.

The structure belongs to space group R-3m (No. 166, hexagonal axes); the cell edges are 4.7148, 4.7148 and 17.2937 Å and the angles 90.00°, 90.00° and 120.00°. The inequivalent atoms are Pb at (0.0000, 0.0000, 0.0000), Br at (0.0000, 0.0000, 0.2578) and Cl at (0.0000, 0.0000, 0.5000).

The uncorrected formation energy is -0.418 eV/atom.